(1)
Here is a relaxed BeTlAg3 crystal from Alexandria. Energies are from GGA-PBE.

Geometry as POSCAR:
```
BeTlAg3
1.0
5.302 0.000 0.000
0.000 5.302 0.000
0.000 0.000 5.302
Be Tl Ag
1 1 3
direct
0.000 0.000 0.000
0.500 0.500 0.500
0.000 0.500 0.500
0.500 0.000 0.500
0.500 0.500 0.000
```

Its formation energy is 1.232 eV/atom. The calculation puts the energy at -1.697 eV/atom. The symmetry is Pm-3m. The calculated density comes out at 5.98 Mg/m³. Its relative energy among the computed polymorphs is 440.3 kJ/mol of formula units. As for the volume: 29.817 A^3/atom.

(2)
Here is a relaxed YReCl2 crystal from Alexandria. Energies are from GGA-PBE.

Geometry as POSCAR:
```
YReCl2
1.0
4.419 0.000 0.000
0.000 4.419 0.000
0.000 0.000 3.649
Y Re Cl
1 1 2
direct
0.000 0.000 0.000
0.500 0.500 0.000
0.000 0.500 0.500
0.500 0.000 0.500
```

The calculation puts the energy at -5.418 eV/atom. The symmetry is P4/mmm. The calculated density comes out at 8.06 Mg/m³. For the formation energy from raw total energies, the calculation gives 0.9 eV per formula unit. Its relative energy among the computed polymorphs is 274.9 kJ/mol of formula units. As for the volume: 17.818 A^3/atom.

(3)
Here is a relaxed CrCu2S2 crystal from Alexandria. Energies are from GGA-PBE.

Geometry as POSCAR:
```
CrCu2S2
1.0
6.533 0.000 0.000
0.000 6.533 0.000
0.000 0.000 3.488
Cr Cu S
2 4 4
direct
0.000 0.000 0.000
0.500 0.500 0.000
0.139 0.361 0.500
0.361 0.861 0.500
0.639 0.139 0.500
0.861 0.639 0.500
0.180 0.680 0.000
0.320 0.180 0.000
0.680 0.820 0.000
0.820 0.320 0.000
```

The calculation puts the energy at -5.205 eV/atom. The symmetry is P4/mbm. The calculated density comes out at 5.43 Mg/m³. For the formation energy from raw total energies, the calculation gives 0.0 eV per formula unit. Its relative energy among the computed polymorphs is 0.0 kJ/mol of formula units. As for the volume: 14.885 A^3/atom.

(4)
Here is a relaxed TlAgMo2 crystal from Alexandria. Energies are from GGA-PBE.

Geometry as POSCAR:
```
TlAgMo2
1.0
-2.080 2.080 4.083
2.080 -2.080 4.083
2.080 2.080 -4.083
Tl Ag Mo
1 1 2
direct
0.000 0.000 0.000
0.250 0.750 0.500
0.500 0.500 0.000
0.750 0.250 0.500
```

Its formation energy is 0.676 eV/atom. The calculation puts the energy at -6.044 eV/atom. The symmetry is I-4m2. The calculated density comes out at 11.84 Mg/m³. Its relative energy among the computed polymorphs is 90.5 kJ/mol of formula units. As for the volume: 17.670 A^3/atom.

(5)
Here is a relaxed BaAsOs crystal from Alexandria. Energies are from GGA-PBE.

Geometry as POSCAR:
```
BaAsOs
1.0
0.000 3.592 3.592
3.592 0.000 3.592
3.592 3.592 0.000
Ba As Os
1 1 1
direct
0.000 0.000 0.000
0.750 0.750 0.750
0.250 0.250 0.250
```

Its formation energy is 1.705 eV/atom. The calculation puts the energy at -4.229 eV/atom. The symmetry is F-43m. The calculated density comes out at 7.21 Mg/m³. As for the volume: 30.887 A^3/atom.

(6)
Here is a relaxed NiBPd2Au crystal from Alexandria. Energies are from GGA-PBE.

Geometry as POSCAR:
```
NiBPd2Au
1.0
4.194 0.000 0.000
0.000 4.194 0.000
0.000 0.000 3.938
Ni B Pd Au
1 1 2 1
direct
0.000 0.000 0.000
0.000 0.000 0.500
0.000 0.500 0.500
0.500 0.000 0.500
0.500 0.500 0.000
```

Its formation energy is -0.049 eV/atom. The calculation puts the energy at -5.273 eV/atom. The symmetry is P4/mmm. The calculated density comes out at 11.49 Mg/m³. As for the volume: 13.854 A^3/atom.

(7)
Here is a relaxed PmTmNbN3 crystal from Alexandria. Energies are from GGA-PBE.

Geometry as POSCAR:
```
PmTmNbN3
1.0
5.809 0.000 0.000
0.000 3.380 0.000
-1.941 0.000 8.394
Pm Tm Nb N
2 2 2 6
direct
0.151 0.250 0.189
0.849 0.750 0.811
0.269 0.750 0.546
0.731 0.250 0.454
0.366 0.250 0.863
0.634 0.750 0.137
0.064 0.250 0.673
0.259 0.750 0.983
0.459 0.750 0.334
0.541 0.250 0.666
0.741 0.250 0.017
0.936 0.750 0.327
```

The calculation puts the energy at -8.777 eV/atom. The symmetry is P2_1/m. The calculated density comes out at 9.05 Mg/m³. For the formation energy from raw total energies, the calculation gives -8.4 eV per formula unit. As for the volume: 13.733 A^3/atom.

(8)
Here is a relaxed CeNdZnPt crystal from Alexandria. Energies are from GGA-PBE.

Geometry as POSCAR:
```
CeNdZnPt
1.0
0.000 3.624 3.624
3.624 0.000 3.624
3.624 3.624 0.000
Ce Nd Zn Pt
1 1 1 1
direct
0.000 0.000 0.000
0.500 0.500 0.500
0.750 0.750 0.750
0.250 0.250 0.250
```

Its formation energy is -0.599 eV/atom. The calculation puts the energy at -5.103 eV/atom. The symmetry is F-43m. The calculated density comes out at 9.50 Mg/m³. As for the volume: 23.799 A^3/atom.